Entry 1:
KBaAs2Pd5 | GGA-PBE | relaxed

The structure in extended XYZ format:
```
9
Lattice="4.3541 0.0000 0.0000 0.0000 4.3541 0.0000 0.0000 0.0000 10.6856" Properties=species:S:1:pos:R:3 pbc="T T T"
K 0.0000 0.0000 0.0000
Ba 0.0000 0.0000 5.3428
As 2.1770 2.1770 1.9067
As 2.1770 2.1770 8.7789
Pd 0.0000 2.1770 3.0441
Pd 0.0000 2.1770 7.6415
Pd 2.1770 0.0000 3.0441
Pd 2.1770 0.0000 7.6415
Pd 2.1770 2.1770 5.3428
```

Computed properties:
Its density of states at the Fermi level is 2.938 states/eV per cell. The formation energy comes out at -0.433 eV/atom. The volume is 22.5 Å³ per atom.



Entry 2:
Ce2Sb3Au2 | GGA-PBE | relaxed

The structure in extended XYZ format:
```
7
Lattice="-2.0436 2.4883 9.4234 2.0436 -2.4883 9.4234 2.0436 2.4883 -9.4234" Properties=species:S:1:pos:R:3 pbc="T T T"
Ce 0.0000 0.0000 2.9365
Ce 0.0000 0.0000 15.9103
Sb 2.0436 0.0000 0.0000
Sb 0.0000 0.0000 6.1254
Sb 0.0000 0.0000 12.7214
Au 2.0436 0.0000 8.1235
Au 0.0000 2.4883 1.2999
```

Computed properties:
Its density of states at the Fermi level is 10.034 states/eV per cell. The value obtained for the uncorrected formation energy is -0.5193 eV/atom. The volume is 27.4 Å³ per atom.



Entry 3:
PmBi3Au | GGA-PBE | relaxed

The structure in extended XYZ format:
```
5
Lattice="4.8206 0.0000 0.0000 0.0000 2.4063 6.5273 0.0000 -2.4063 6.5273" Properties=species:S:1:pos:R:3 pbc="T T T"
Pm 0.0000 0.0000 0.0000
Bi 0.0000 0.0000 3.9507
Bi 2.4103 0.0000 6.8186
Bi 2.4103 0.0000 10.4894
Au 0.0000 0.0000 8.5216
```

Computed properties:
Its density of states at the Fermi level is 2.680 states/eV per cell. The formation energy comes out at -0.337 eV/atom. The volume is 30.3 Å³ per atom.



Entry 4:
ScBe2Ni | GGA-PBE | relaxed

The structure in extended XYZ format:
```
4
Lattice="3.5547 0.0000 0.0000 0.0000 3.5547 0.0000 0.0000 0.0000 4.0143" Properties=species:S:1:pos:R:3 pbc="T T T"
Sc 0.0000 0.0000 0.0000
Be 0.0000 1.7774 2.0072
Be 1.7774 0.0000 2.0072
Ni 1.7774 1.7774 0.0000
```

Computed properties:
Its density of states at the Fermi level is 1.588 states/eV per cell. The formation energy comes out at 0.003 eV/atom. The volume is 12.7 Å³ per atom.



Entry 5:
TlZnPt3 | GGA-PBE | relaxed

The structure in extended XYZ format:
```
5
Lattice="5.0420 0.0000 0.0000 0.0000 5.0420 0.0000 0.0000 0.0000 5.0420" Properties=species:S:1:pos:R:3 pbc="T T T"
Tl 0.0000 0.0000 0.0000
Zn 2.5210 2.5210 2.5210
Pt 0.0000 0.0000 2.5210
Pt 0.0000 2.5210 0.0000
Pt 2.5210 0.0000 0.0000
```

Computed properties:
Its density of states at the Fermi level is 4.062 states/eV per cell. The formation energy comes out at 1.285 eV/atom. The volume is 25.6 Å³ per atom.



Entry 6:
PrSm4Y15 | GGA-PBE | relaxed

The structure in extended XYZ format:
```
20
Lattice="5.0790 0.0000 0.0000 0.0000 5.0790 0.0000 0.0000 0.0000 25.3325" Properties=species:S:1:pos:R:3 pbc="T T T"
Pr 0.0000 0.0000 0.0000
Sm 0.0000 0.0000 5.0782
Sm 0.0000 0.0000 10.1377
Sm 0.0000 0.0000 15.1948
Sm 0.0000 0.0000 20.2543
Y 0.0000 2.5395 2.5566
Y 0.0000 2.5395 7.6083
Y 0.0000 2.5395 12.6662
Y 0.0000 2.5395 17.7242
Y 0.0000 2.5395 22.7759
Y 2.5395 0.0000 2.5566
Y 2.5395 0.0000 7.6083
Y 2.5395 0.0000 12.6662
Y 2.5395 0.0000 17.7242
Y 2.5395 0.0000 22.7759
Y 2.5395 2.5395 0.0000
Y 2.5395 2.5395 5.0852
Y 2.5395 2.5395 10.1357
Y 2.5395 2.5395 15.1968
Y 2.5395 2.5395 20.2473
```

Computed properties:
Its density of states at the Fermi level is 28.851 states/eV per cell. The formation energy comes out at 0.021 eV/atom. The volume is 32.7 Å³ per atom.



Entry 7:
AsPOF2 | GGA-PBE | relaxed

The structure in extended XYZ format:
```
5
Lattice="4.1937 0.0000 0.0000 0.0000 4.1937 0.0000 0.0000 0.0000 4.1582" Properties=species:S:1:pos:R:3 pbc="T T T"
As 0.0000 0.0000 0.0000
P 2.0968 2.0968 2.0791
O 0.0000 0.0000 2.0791
F 0.0000 2.0968 0.0000
F 2.0968 0.0000 0.0000
```

Computed properties:
Its density of states at the Fermi level is 1.844 states/eV per cell. The value obtained for the uncorrected formation energy is -0.4208 eV/atom. The volume is 14.6 Å³ per atom.



Entry 8:
K2AsPb | GGA-PBE | relaxed

The structure in extended XYZ format:
```
4
Lattice="-2.6707 2.6707 4.4789 2.6707 -2.6707 4.4789 2.6707 2.6707 -4.4789" Properties=species:S:1:pos:R:3 pbc="T T T"
K 0.0000 0.0000 0.0000
K 0.0000 2.6707 2.2395
As 0.0000 0.0000 4.4789
Pb 2.6707 0.0000 2.2395
```

Computed properties:
Its density of states at the Fermi level is 1.640 states/eV per cell. The formation energy comes out at -0.099 eV/atom. The volume is 31.9 Å³ per atom.



Entry 9:
PmHoAl3 | GGA-PBE | relaxed

The structure in extended XYZ format:
```
10
Lattice="1.8262 -13.8318 0.0000 1.8262 13.8318 0.0000 0.0000 0.0000 4.5563" Properties=species:S:1:pos:R:3 pbc="T T T"
Pm 1.8262 11.8215 3.4172
Pm 1.8262 -11.8215 1.1391
Ho 1.8262 7.9851 1.1391
Ho 1.8262 -7.9851 3.4172
Al 1.8262 4.7854 1.1391
Al 1.8262 3.3321 3.4172
Al 1.8262 0.6688 3.4172
Al 1.8262 -0.6688 1.1391
Al 1.8262 -3.3321 1.1391
Al 1.8262 -4.7854 3.4172
```

Computed properties:
Its density of states at the Fermi level is 6.280 states/eV per cell. The formation energy comes out at -0.449 eV/atom. The volume is 23.0 Å³ per atom.



Entry 10:
CdMoOs2 | GGA-PBE | relaxed

The structure in extended XYZ format:
```
4
Lattice="2.8532 -3.9303 0.0000 2.8532 3.9303 0.0000 0.0000 0.0000 2.8324" Properties=species:S:1:pos:R:3 pbc="T T T"
Cd 0.0000 0.0000 0.0000
Mo 2.8532 0.0000 0.0000
Os 1.4266 1.9652 1.4162
Os 1.4266 -1.9652 1.4162
```

Computed properties:
Its density of states at the Fermi level is 5.260 states/eV per cell. The formation energy comes out at 0.611 eV/atom. The volume is 15.9 Å³ per atom.



Entry 11:
Pr2MgHg2 | GGA-PBE | relaxed

The structure in extended XYZ format:
```
10
Lattice="7.8337 0.0000 0.0000 0.0000 7.8337 0.0000 0.0000 0.0000 4.6451" Properties=species:S:1:pos:R:3 pbc="T T T"
Pr 1.2763 2.6405 0.0000
Pr 2.6405 6.5574 0.0000
Pr 5.1932 1.2763 0.0000
Pr 6.5574 5.1932 0.0000
Mg 0.0000 0.0000 2.3226
Mg 3.9169 3.9169 2.3226
Hg 1.0955 5.0124 2.3226
Hg 2.8214 1.0955 2.3226
Hg 5.0124 6.7383 2.3226
Hg 6.7383 2.8214 2.3226
```

Computed properties:
Its density of states at the Fermi level is 10.432 states/eV per cell. The formation energy comes out at -0.387 eV/atom. The volume is 28.5 Å³ per atom.



Entry 12:
SiSb3W | GGA-PBE | relaxed

The structure in extended XYZ format:
```
5
Lattice="5.2432 0.0000 0.0000 0.0000 5.2432 0.0000 0.0000 0.0000 5.2432" Properties=species:S:1:pos:R:3 pbc="T T T"
Si 0.0000 0.0000 0.0000
Sb 0.0000 2.6216 2.6216
Sb 2.6216 0.0000 2.6216
Sb 2.6216 2.6216 0.0000
W 2.6216 2.6216 2.6216
```

Computed properties:
Its density of states at the Fermi level is 3.013 states/eV per cell. The value obtained for the uncorrected formation energy is 0.9933 eV/atom. The volume is 28.8 Å³ per atom.



Entry 13:
YTh2Pa | GGA-PBE | relaxed

The structure in extended XYZ format:
```
4
Lattice="5.0118 0.0000 0.0000 0.0000 5.0118 0.0000 0.0000 0.0000 4.7987" Properties=species:S:1:pos:R:3 pbc="T T T"
Y 0.0000 0.0000 0.0000
Th 0.0000 2.5059 2.3994
Th 2.5059 0.0000 2.3994
Pa 2.5059 2.5059 0.0000
```

Computed properties:
Its density of states at the Fermi level is 9.387 states/eV per cell. The formation energy comes out at 0.180 eV/atom. The volume is 30.1 Å³ per atom.



Entry 14:
CsK2CaAs | GGA-PBE | relaxed

The structure in extended XYZ format:
```
5
Lattice="6.8187 0.0000 0.0000 0.0000 6.8187 0.0000 0.0000 0.0000 5.7624" Properties=species:S:1:pos:R:3 pbc="T T T"
Cs 0.0000 0.0000 0.0000
K 0.0000 3.4094 2.8812
K 3.4094 0.0000 2.8812
Ca 3.4094 3.4094 0.0000
As 3.4094 3.4094 2.8812
```

Computed properties:
Its density of states at the Fermi level is 2.506 states/eV per cell. The formation energy comes out at -0.269 eV/atom. The volume is 53.6 Å³ per atom.



Entry 15:
CuGeAu2Se4 | GGA-PBE | relaxed

The structure in extended XYZ format:
```
8
Lattice="4.1532 -5.7119 0.0000 4.1532 5.7119 0.0000 -4.1530 0.0000 4.1525" Properties=species:S:1:pos:R:3 pbc="T T T"
Cu 0.0000 0.0000 0.0000
Ge 2.0767 2.8530 2.0763
Au 4.1532 -0.0060 0.0000
Au 2.0767 -2.8601 2.0763
Se 1.9629 1.3998 0.0888
Se -0.0916 -1.4060 1.9632
Se 2.1905 1.3998 4.0638
Se 4.2450 -1.4060 2.1894
```

Computed properties:
Its density of states at the Fermi level is 5.756 states/eV per cell. The value obtained for the uncorrected formation energy is -0.1166 eV/atom. The volume is 24.6 Å³ per atom.



Entry 16:
Li2PmGa2Au2 | GGA-PBE | relaxed

The structure in extended XYZ format:
```
7
Lattice="3.9336 -2.2537 0.0000 3.9336 2.2537 0.0000 -2.5205 0.0000 7.4509" Properties=species:S:1:pos:R:3 pbc="T T T"
Li 0.0284 0.0000 3.1623
Li 5.3184 0.0000 4.2886
Pm 0.0000 0.0000 0.0000
Ga 2.6455 0.0000 2.2260
Ga 2.7012 0.0000 5.2249
Au 0.0889 0.0000 5.7187
Au 5.2579 0.0000 1.7322
```

Computed properties:
Its density of states at the Fermi level is 2.665 states/eV per cell. The formation energy comes out at -0.598 eV/atom. The volume is 18.9 Å³ per atom.



Entry 17:
LaScIn2 | GGA-PBE | relaxed

The structure in extended XYZ format:
```
4
Lattice="3.7109 0.0000 0.0000 0.0000 3.7109 0.0000 0.0000 0.0000 7.7022" Properties=species:S:1:pos:R:3 pbc="T T T"
La 0.0000 0.0000 0.0000
Sc 0.0000 0.0000 3.8511
In 1.8554 1.8554 2.1898
In 1.8554 1.8554 5.5124
```

Computed properties:
Its density of states at the Fermi level is 3.232 states/eV per cell. The formation energy comes out at -0.471 eV/atom. The volume is 26.5 Å³ per atom.



Entry 18:
LaRh3N | GGA-PBE | relaxed

The structure in extended XYZ format:
```
5
Lattice="4.9423 0.0000 0.0000 0.0000 4.9423 0.0000 0.0000 0.0000 4.9423" Properties=species:S:1:pos:R:3 pbc="T T T"
La 0.0000 0.0000 0.0000
Rh 0.0000 0.0000 2.4712
Rh 0.0000 2.4712 0.0000
Rh 2.4712 0.0000 0.0000
N 2.4712 2.4712 2.4712
```

Computed properties:
Its density of states at the Fermi level is 5.129 states/eV per cell. The value obtained for the uncorrected formation energy is 2.1372 eV/atom. The volume is 24.1 Å³ per atom.



Entry 19:
Tb3Be2Fe7 | GGA-PBE | relaxed

The structure in extended XYZ format:
```
12
Lattice="2.5406 1.4668 7.7773 -2.5406 1.4668 7.7773 0.0000 -2.9336 7.7773" Properties=species:S:1:pos:R:3 pbc="T T T"
Tb 0.0000 0.0000 0.0000
Tb 0.0000 0.0000 3.2861
Tb 0.0000 0.0000 20.0459
Be 0.0000 0.0000 7.7687
Be 0.0000 0.0000 15.5633
Fe -1.2652 -0.7305 9.5621
Fe 0.0000 -1.4609 13.7699
Fe -1.2652 0.7305 13.7699
Fe 0.0000 0.0000 11.6660
Fe 1.2652 -0.7305 9.5621
Fe 0.0000 1.4609 9.5621
Fe 1.2652 0.7305 13.7699
```

Computed properties:
Its density of states at the Fermi level is 9.138 states/eV per cell. The formation energy comes out at -0.109 eV/atom. The volume is 14.5 Å³ per atom.



Entry 20:
PuPa6Al | GGA-PBE | relaxed

The structure in extended XYZ format:
```
8
Lattice="4.5390 0.0000 0.0000 0.0000 4.5390 0.0000 0.0000 0.0000 9.2132" Properties=species:S:1:pos:R:3 pbc="T T T"
Pu 0.0000 0.0000 0.0000
Pa 0.0000 2.2695 2.3882
Pa 0.0000 2.2695 6.8250
Pa 2.2695 0.0000 2.3882
Pa 2.2695 0.0000 6.8250
Pa 2.2695 2.2695 0.0000
Pa 2.2695 2.2695 4.6066
Al 0.0000 0.0000 4.6066
```

Computed properties:
Its density of states at the Fermi level is 17.267 states/eV per cell. The formation energy comes out at -0.031 eV/atom. The volume is 23.7 Å³ per atom.